# 1
# RhW2Br GGA-PBEsol optimized geometry
data_RhW2Br
_space_group_name_H-M_alt 'P 1 2/m 1'
_space_group_IT_number 10
_cell_length_a 4.481
_cell_length_b 2.959
_cell_length_c 4.845
_cell_angle_alpha 90.00
_cell_angle_beta 99.58
_cell_angle_gamma 90.00
loop_
_space_group_symop_operation_xyz
'x,y,z'
'-x,-y,-z'
'-x,y,-z'
'x,-y,z'
loop_
_atom_site_label
_atom_site_type_symbol
_atom_site_fract_x
_atom_site_fract_y
_atom_site_fract_z
Rh1 Rh 0.000 0.000 0.000
W1 W 0.000 0.500 0.500
W2 W 0.500 0.000 0.500
Br1 Br 0.500 0.500 0.000
# Calculated volume   63 Å³/f.u.
# Raw formation energy   0.88 eV per atom
# DOS(E_F)   0.785 states/eV per atom
# Energy relative to the lowest polymorph listed for this composition   345 meV/atom
# M_tot   0.00 μB/f.u.
# Density   14433 kg/m3
# Crystal system   monoclinic

***

# 2
# RhW2Br GGA-PBEsol optimized geometry
data_RhW2Br
_space_group_name_H-M_alt 'P 4/m m m'
_space_group_IT_number 123
_space_group_name_Hall '-P 4 2'
_cell_length_a 2.977
_cell_length_b 2.977
_cell_length_c 6.852
_cell_angle_alpha 90.00
_cell_angle_beta 90.00
_cell_angle_gamma 90.00
loop_
_atom_site_label
_atom_site_type_symbol
_atom_site_fract_x
_atom_site_fract_y
_atom_site_fract_z
Rh1 Rh 0.000 0.000 0.000
W1 W 0.500 0.500 0.249
Br1 Br 0.000 0.000 0.500
# Calculated volume   61 Å³/f.u.
# Raw formation energy   0.69 eV per atom
# DOS(E_F)   1.035 states/eV per atom
# Energy relative to the lowest polymorph listed for this composition   156 meV/atom
# M_tot   0.00 μB/f.u.
# Density   15051 kg/m3
# Crystal system   tetragonal

***

# 3
# YRh2Br GGA-PBEsol optimized geometry
data_YRh2Br
_space_group_name_H-M_alt 'P m m m'
_space_group_IT_number 47
_cell_length_a 3.213
_cell_length_b 3.919
_cell_length_c 5.667
_cell_angle_alpha 90.00
_cell_angle_beta 90.00
_cell_angle_gamma 90.00
loop_
_space_group_symop_operation_xyz
'x,y,z'
'-x,-y,-z'
'-x,-y,z'
'x,y,-z'
'x,-y,-z'
'-x,y,z'
'-x,y,-z'
'x,-y,z'
loop_
_atom_site_label
_atom_site_type_symbol
_atom_site_fract_x
_atom_site_fract_y
_atom_site_fract_z
Y1 Y 0.000 0.000 0.000
Rh1 Rh 0.500 0.500 0.252
Br1 Br 0.000 0.000 0.500
# Calculated volume   71 Å³/f.u.
# Raw formation energy   -0.15 eV per atom
# DOS(E_F)   1.220 states/eV per atom
# Energy relative to the lowest polymorph listed for this composition   0 meV/atom
# M_tot   0.00 μB/f.u.
# Density   8717 kg/m3
# Crystal system   orthorhombic

***

# 4
# YRh2Br GGA-PBEsol optimized geometry
data_YRh2Br
_space_group_name_H-M_alt 'R -3 m'
_space_group_IT_number 166
_space_group_name_Hall '-R 3 2"'
_cell_length_a 3.3132
_cell_length_b 3.3132
_cell_length_c 23.8398
_cell_angle_alpha 90.00
_cell_angle_beta 90.00
_cell_angle_gamma 120.00
loop_
_atom_site_label
_atom_site_type_symbol
_atom_site_fract_x
_atom_site_fract_y
_atom_site_fract_z
Y1 Y 0.0000 0.0000 0.0000
Rh1 Rh 0.0000 0.0000 0.2493
Br1 Br 0.0000 0.0000 0.5000
# Calculated volume   76 Å³/f.u.
# Raw formation energy   0.10 eV per atom
# DOS(E_F)   1.195 states/eV per atom
# Energy relative to the lowest polymorph listed for this composition   253 meV/atom
# M_tot   0.00 μB/f.u.
# Density   8235 kg/m3
# Crystal system   trigonal